[1]
# PBE UFe12P6, relaxed
data_UFe12P6
_cell_length_a 10.2127
_cell_length_b 10.2127
_cell_length_c 7.6827
_cell_angle_alpha 90.00
_cell_angle_beta 90.00
_cell_angle_gamma 120.00
_space_group_name_H-M_alt 'R -3 m'
_space_group_IT_number 166
_space_group_name_Hall '-R 3 2"'
loop_
_atom_site_label
_atom_site_type_symbol
_atom_site_fract_x
_atom_site_fract_y
_atom_site_fract_z
U1 U 0.0000 0.0000 0.0000
Fe1 Fe 0.0000 0.3660 0.5000
Fe2 Fe 0.0875 0.1750 0.3546
P1 P 0.0362 0.5181 0.2831
# - final energy (eV/f.u.) = -153.64
# - theoretical density (g/cm3) = 7.853

[2]
# PBE LaMg2Mo, relaxed
data_LaMg2Mo
_cell_length_a 3.423
_cell_length_b 4.721
_cell_length_c 5.520
_cell_angle_alpha 90.00
_cell_angle_beta 90.00
_cell_angle_gamma 90.00
_space_group_name_H-M_alt 'P m m m'
_space_group_IT_number 47
_space_group_name_Hall '-P 2 2'
loop_
_atom_site_label
_atom_site_type_symbol
_atom_site_fract_x
_atom_site_fract_y
_atom_site_fract_z
La1 La 0.000 0.000 0.000
Mg1 Mg 0.000 0.500 0.500
Mg2 Mg 0.500 0.000 0.500
Mo1 Mo 0.500 0.500 0.000
# - energy above the most stable polymorph in this dataset (meV per atom) = 89.9
# - theoretical density (g/cm3) = 5.277

[3]
# PBE Cr2TcP, relaxed
data_Cr2TcP
_cell_length_a 2.7218
_cell_length_b 2.7218
_cell_length_c 23.5326
_cell_angle_alpha 90.00
_cell_angle_beta 90.00
_cell_angle_gamma 120.00
_space_group_name_H-M_alt 'R -3 m'
_space_group_IT_number 166
_space_group_name_Hall '-R 3 2"'
loop_
_atom_site_label
_atom_site_type_symbol
_atom_site_fract_x
_atom_site_fract_y
_atom_site_fract_z
Cr1 Cr 0.0000 0.0000 0.2438
Tc1 Tc 0.0000 0.0000 0.0000
P1 P 0.0000 0.0000 0.5000
# - final energy (eV/f.u.) = -34.73
# - theoretical density (g/cm3) = 7.687

[4]
# PBE LiPtSeO6, relaxed
data_LiPtSeO6
_cell_length_a 5.0486
_cell_length_b 5.0486
_cell_length_c 9.2604
_cell_angle_alpha 90.00
_cell_angle_beta 90.00
_cell_angle_gamma 120.00
_space_group_name_H-M_alt 'P -3 1 c'
_space_group_IT_number 163
_space_group_name_Hall '-P 3 2c'
loop_
_atom_site_label
_atom_site_type_symbol
_atom_site_fract_x
_atom_site_fract_y
_atom_site_fract_z
Li1 Li 0.0000 0.0000 0.0000
Pt1 Pt 0.3333 0.6667 0.2500
Se1 Se 0.3333 0.6667 0.7500
O1 O 0.0225 0.3705 0.6384
# - theoretical density (g/cm3) = 6.125
# - formation energy without anion corrections (eV per formula unit) = -6.653

[5]
# PBE Ho4FeSb, relaxed
data_Ho4FeSb
_cell_length_a 8.694
_cell_length_b 13.077
_cell_length_c 5.990
_cell_angle_alpha 90.00
_cell_angle_beta 111.91
_cell_angle_gamma 90.00
_space_group_name_H-M_alt 'C 1 2/c 1'
_space_group_IT_number 15
_space_group_name_Hall '-C 2yc'
loop_
_atom_site_label
_atom_site_type_symbol
_atom_site_fract_x
_atom_site_fract_y
_atom_site_fract_z
Ho1 Ho 0.107 0.164 0.060
Ho2 Ho 0.221 0.428 0.360
Fe1 Fe 0.000 0.000 0.250
Sb1 Sb 0.000 0.373 0.750
# - theoretical density (g/cm3) = 8.803
# - formation energy without anion corrections (eV per formula unit) = -2.408

[6]
# PBE AcGaF, relaxed
data_AcGaF
_cell_length_a 4.3487
_cell_length_b 4.3487
_cell_length_c 25.1493
_cell_angle_alpha 90.00
_cell_angle_beta 90.00
_cell_angle_gamma 120.00
_space_group_name_H-M_alt 'R -3 m'
_space_group_IT_number 166
_space_group_name_Hall '-R 3 2"'
loop_
_atom_site_label
_atom_site_type_symbol
_atom_site_fract_x
_atom_site_fract_y
_atom_site_fract_z
Ac1 Ac 0.0000 0.0000 0.0920
Ga1 Ga 0.0000 0.0000 0.3471
F1 F 0.0000 0.0000 0.1953
# - energy above the most stable polymorph in this dataset (meV per atom) = 0.0
# - theoretical density (g/cm3) = 7.637
# - formation energy without anion corrections (eV per formula unit) = -6.428

[7]
# PBE BaBeP2S, relaxed
data_BaBeP2S
_cell_length_a 4.446
_cell_length_b 4.446
_cell_length_c 5.148
_cell_angle_alpha 90.00
_cell_angle_beta 90.00
_cell_angle_gamma 90.00
_space_group_name_H-M_alt 'P 4/m m m'
_space_group_IT_number 123
_space_group_name_Hall '-P 4 2'
loop_
_atom_site_label
_atom_site_type_symbol
_atom_site_fract_x
_atom_site_fract_y
_atom_site_fract_z
Ba1 Ba 0.000 0.000 0.000
Be1 Be 0.500 0.500 0.500
P1 P 0.000 0.500 0.500
S1 S 0.500 0.500 0.000
# - energy above the most stable polymorph in this dataset (meV per atom) = 0.0
# - theoretical density (g/cm3) = 3.922
# - formation energy without anion corrections (eV per formula unit) = -1.220

[8]
# PBE Sr2SnBiAu6, relaxed
data_Sr2SnBiAu6
_cell_length_a 10.717
_cell_length_b 10.717
_cell_length_c 10.717
_cell_angle_alpha 90.00
_cell_angle_beta 90.00
_cell_angle_gamma 90.00
_space_group_name_H-M_alt 'F m -3 m'
_space_group_IT_number 225
_space_group_name_Hall '-F 4 2 3'
loop_
_atom_site_label
_atom_site_type_symbol
_atom_site_fract_x
_atom_site_fract_y
_atom_site_fract_z
Sr1 Sr 0.250 0.250 0.250
Sn1 Sn 0.000 0.000 0.000
Bi1 Bi 0.000 0.000 0.500
Au1 Au 0.000 0.000 0.245
# - final energy (eV/f.u.) = -32.68
# - theoretical density (g/cm3) = 9.091

[9]
# PBE Nd3BO6, relaxed
data_Nd3BO6
_cell_length_a 9.133
_cell_length_b 11.498
_cell_length_c 5.335
_cell_angle_alpha 90.00
_cell_angle_beta 90.00
_cell_angle_gamma 90.00
_space_group_name_H-M_alt 'C m c 21'
_space_group_IT_number 36
_space_group_name_Hall 'C 2c -2'
loop_
_atom_site_label
_atom_site_type_symbol
_atom_site_fract_x
_atom_site_fract_y
_atom_site_fract_z
Nd1 Nd 0.000 0.107 0.000
Nd2 Nd 0.191 0.389 0.043
B1 B 0.000 0.307 0.596
O1 O 0.000 0.297 0.313
O2 O 0.000 0.431 0.698
O3 O 0.134 0.247 0.712
O4 O 0.160 0.011 0.277
# - theoretical density (g/cm3) = 6.396
# - formation energy without anion corrections (eV per formula unit) = -31.164

[10]
# PBE Y3Er3ScSe8, relaxed
data_Y3Er3ScSe8
_cell_length_a 8.0636
_cell_length_b 8.0636
_cell_length_c 19.7983
_cell_angle_alpha 90.00
_cell_angle_beta 90.00
_cell_angle_gamma 120.00
_space_group_name_H-M_alt 'R -3 m'
_space_group_IT_number 166
_space_group_name_Hall '-R 3 2"'
loop_
_atom_site_label
_atom_site_type_symbol
_atom_site_fract_x
_atom_site_fract_y
_atom_site_fract_z
Y1 Y 0.0000 0.5000 0.0000
Er1 Er 0.0000 0.5000 0.5000
Sc1 Sc 0.0000 0.0000 0.5000
Se1 Se 0.0000 0.0000 0.2486
Se2 Se 0.0026 0.5013 0.2478
# - theoretical density (g/cm3) = 6.457
# - formation energy without anion corrections (eV per formula unit) = -27.004

[11]
# PBE Tb2CeErSb4, relaxed
data_Tb2CeErSb4
_cell_length_a 7.638
_cell_length_b 4.413
_cell_length_c 7.645
_cell_angle_alpha 90.00
_cell_angle_beta 109.38
_cell_angle_gamma 90.00
_space_group_name_H-M_alt 'P 1 2/m 1'
_space_group_IT_number 10
_space_group_name_Hall '-P 2y'
loop_
_atom_site_label
_atom_site_type_symbol
_atom_site_fract_x
_atom_site_fract_y
_atom_site_fract_z
Tb1 Tb 0.000 0.000 0.000
Tb2 Tb 0.500 0.500 0.000
Ce1 Ce 0.000 0.500 0.500
Er1 Er 0.500 0.000 0.500
Sb1 Sb 0.253 0.500 0.251
Sb2 Sb 0.254 0.000 0.752
# - theoretical density (g/cm3) = 7.597
# - formation energy without anion corrections (eV per formula unit) = -8.852

[12]
# PBE La4Pm5Hg, relaxed
data_La4Pm5Hg
_cell_length_a 3.725
_cell_length_b 3.725
_cell_length_c 24.536
_cell_angle_alpha 90.00
_cell_angle_beta 90.00
_cell_angle_gamma 90.00
_space_group_name_H-M_alt 'P 4/m m m'
_space_group_IT_number 123
_space_group_name_Hall '-P 4 2'
loop_
_atom_site_label
_atom_site_type_symbol
_atom_site_fract_x
_atom_site_fract_y
_atom_site_fract_z
La1 La 0.000 0.000 0.105
La2 La 0.000 0.000 0.315
Pm1 Pm 0.500 0.500 0.000
Pm2 Pm 0.500 0.500 0.210
Pm3 Pm 0.500 0.500 0.419
Hg1 Hg 0.000 0.000 0.500
# - final energy (eV/f.u.) = -44.65
# - theoretical density (g/cm3) = 7.224